SrCoRuO5 after structural relaxation. Source: Alexandria, functional GGA+U.

Properties
- E_tot (eV/atom) = -6.60
- density (g/cm3) = 5.126

Cell: 5.7380 5.7380 7.3513 Å, 102.83 102.83 108.53°
Closest atoms and distances in Å follow each position.
Atoms (fractional coordinates):
Sr (0.1672, 0.8328, 0.7500)  7 O 2.49-2.72
Sr (0.8328, 0.1672, 0.2500)  7 O 2.49-2.72
Co (0.1840, 0.8160, 0.2500)  4 O 1.85
Co (0.8160, 0.1840, 0.7500)  4 O 1.85
Ru (0.5000, 0.5000, 0.0000)  6 O 1.94-1.98
Ru (0.5000, 0.5000, 0.5000)  6 O 1.94-1.98
O (0.1353, 0.2547, 0.9238)  1 Co 1.85, 1 Ru 1.98
O (0.2102, 0.5996, 0.4003)  1 Co 1.85, 1 Ru 1.97
O (0.2547, 0.1353, 0.4238)  1 Co 1.85, 1 Ru 1.98
O (0.4004, 0.7898, 0.0997)  1 Co 1.85, 1 Ru 1.97
O (0.4341, 0.5659, 0.7500)  2 Ru 1.94
O (0.5659, 0.4341, 0.2500)  2 Ru 1.94
O (0.5996, 0.2102, 0.9003)  1 Co 1.85, 1 Ru 1.97
O (0.7453, 0.8647, 0.5762)  1 Co 1.85, 1 Ru 1.98
O (0.7898, 0.4004, 0.5997)  1 Co 1.85, 1 Ru 1.97
O (0.8647, 0.7453, 0.0762)  1 Co 1.85, 1 Ru 1.98